Entry 1:
A relaxed structure of RbScGa2. Source: Alexandria via LeMat-Bulk, functional PBE.

Properties
* ΔH_f (0 K): 0.261 eV per atom
* energy: -0.2262 Ry per atom
* E above lowest polymorph: 0.0303 eV/atom

Geometry as POSCAR:
```
RbScGa2
1.0
-2.728 2.728 9.678
2.728 -2.728 9.678
2.728 2.728 -9.678
Rb Sc Ga
2 2 4
Direct
0.375 0.625 0.750
0.625 0.375 0.250
0.125 0.875 0.250
0.875 0.125 0.750
0.000 0.000 0.000
0.000 0.000 0.500
0.000 0.500 0.000
0.500 0.000 0.500
```

***

Entry 2:
A relaxed structure of HfTiGa. Source: Alexandria via LeMat-Bulk, functional PBE.

Properties
* ΔH_f (0 K): -0.309 eV per atom
* energy: -0.5341 Ry per atom
* E above lowest polymorph: 0.0717 eV/atom

Geometry as POSCAR:
```
HfTiGa
1.0
2.426 -4.689 0.000
2.426 4.689 0.000
-0.853 0.000 4.780
Hf Ti Ga
2 2 2
Direct
0.092 0.908 0.750
0.908 0.092 0.250
0.414 0.586 0.750
0.586 0.414 0.250
0.252 0.748 0.250
0.748 0.252 0.750
```

***

Entry 3:
A relaxed structure of Ac2Bi3Pb3. Source: Alexandria via LeMat-Bulk, functional PBE.

Properties
* ΔH_f (0 K): -0.476 eV per atom
* energy: -0.3196 Ry per atom

Geometry as POSCAR:
```
Ac2Bi3Pb3
1.0
5.137 0.000 0.000
0.000 5.187 0.000
0.000 0.000 9.916
Ac Bi Pb
2 3 3
Direct
0.000 0.000 0.245
0.000 0.000 0.755
0.000 0.500 0.000
0.500 0.000 0.000
0.500 0.000 0.500
0.000 0.500 0.500
0.500 0.500 0.252
0.500 0.500 0.748
```

***

> The lowest ΔH_f (0 K) belongs to which entry?

Ac2Bi3Pb3

***

> Which value of energy does entry 2 give?

-0.5341 Ry per atom